A relaxed Sr2YZn crystal, computed with GGA-PBE.

Lattice parameters (Å, degrees): 3.817 3.817 9.998 90.00 90.00 90.00
Site moments in Bohr magnetons follow the coordinates.
Fractional coordinates of all 4 atoms:
Sr 0.000 0.000 0.930  0.00
Sr 0.500 0.500 0.280  0.01
Zn 0.500 0.500 0.717  0.01
Y 0.000 0.000 0.573  0.07

## Properties
As for the density of states at the Fermi level: 1.1000 states/eV/atom. The formation energy comes out at -0.0718 eV per atom. The value obtained for the magnetization is 0.19 μB per cell. The calculated volume is 36.42 Å³/atom.

A relaxed SrYZr crystal, computed with GGA-PBE.

Lattice parameters (Å, degrees): 6.715 6.715 6.715 149.63 139.51 51.44
Fractional coordinates of all 3 atoms:
Y 0.306 0.306 0.000
Sr 0.005 0.005 0.000
Zr 0.689 0.689 0.000

## Properties
As for the density of states at the Fermi level: 1.7521 states/eV/atom. The formation energy comes out at 0.3945 eV per atom. The value obtained for the magnetization is 0.00 μB per cell. The calculated volume is 32.96 Å³/atom.

A relaxed Sr3YZr crystal, computed with GGA-PBE.

Lattice parameters (Å, degrees): 6.038 6.038 6.038 90.00 90.00 90.00
Fractional coordinates of all 5 atoms:
Sr 0.500 0.000 0.000
Sr 0.000 0.000 0.500
Sr 0.000 0.500 0.000
Zr 0.000 0.000 0.000
Y 0.500 0.500 0.500

## Properties
As for the density of states at the Fermi level: 1.3774 states/eV/atom. The formation energy comes out at 0.8919 eV per atom. The value obtained for the magnetization is 0.00 μB per cell. The calculated volume is 44.03 Å³/atom.

A relaxed SrY2Zr crystal, computed with GGA-PBE.

Lattice parameters (Å, degrees): 5.679 5.679 5.679 60.00 60.00 60.00
Site moments in Bohr magnetons follow the coordinates.
Fractional coordinates of all 4 atoms:
Y 0.750 0.750 0.750  0.27
Y 0.250 0.250 0.250  0.27
Zr 0.500 0.500 0.500  0.97
Sr 0.000 0.000 0.000  0.04

## Properties
As for the density of states at the Fermi level: 1.6394 states/eV/atom. The formation energy comes out at 0.3751 eV per atom. The value obtained for the magnetization is 2.82 μB per cell. The calculated volume is 32.38 Å³/atom.

A relaxed SrY2Zr crystal, computed with GGA-PBE.

Lattice parameters (Å, degrees): 12.144 12.144 12.144 16.88 16.88 16.88
Fractional coordinates of all 4 atoms:
Y 0.511 0.511 0.511
Y 0.989 0.989 0.989
Sr 0.750 0.750 0.750
Zr 0.250 0.250 0.250

## Properties
As for the density of states at the Fermi level: 1.7351 states/eV/atom. The formation energy comes out at 0.2170 eV per atom. The value obtained for the magnetization is 0.00 μB per cell. The calculated volume is 32.93 Å³/atom.

A relaxed SrY2Zr crystal, computed with GGA-PBE.

Lattice parameters (Å, degrees): 5.637 3.529 6.528 89.96 90.00 90.00
Fractional coordinates of all 4 atoms:
Sr 0.500 0.625 0.777
Y 0.000 0.125 0.993
Y 0.500 0.125 0.294
Zr 0.000 0.625 0.436

## Properties
As for the density of states at the Fermi level: 1.7157 states/eV/atom. The formation energy comes out at 0.2993 eV per atom. The value obtained for the magnetization is 0.00 μB per cell. The calculated volume is 32.47 Å³/atom.

A relaxed SrYZr crystal, computed with GGA-PBE.

Lattice parameters (Å, degrees): 3.547 3.547 9.002 90.00 90.00 120.00
Fractional coordinates of all 3 atoms:
Sr 0.000 0.000 0.983
Y 0.667 0.333 0.368
Zr 0.333 0.667 0.649

## Properties
As for the density of states at the Fermi level: 1.4551 states/eV/atom. The formation energy comes out at 0.3202 eV per atom. The value obtained for the magnetization is 0.00 μB per cell. The calculated volume is 32.69 Å³/atom.

A relaxed SrY2Zr crystal, computed with GGA-PBE.

Lattice parameters (Å, degrees): 6.087 6.087 6.462 81.64 81.64 33.43
Fractional coordinates of all 4 atoms:
Y 0.005 0.005 0.974
Y 0.757 0.757 0.730
Sr 0.245 0.245 0.255
Zr 0.494 0.494 0.541

## Properties
As for the density of states at the Fermi level: 1.3644 states/eV/atom. The formation energy comes out at 0.2991 eV per atom. The value obtained for the magnetization is 0.00 μB per cell. The calculated volume is 32.59 Å³/atom.

A relaxed SrY2Zr crystal, computed with GGA-PBE.

Lattice parameters (Å, degrees): 5.690 5.690 5.690 60.00 60.00 60.00
Site moments in Bohr magnetons follow the coordinates.
Fractional coordinates of all 4 atoms:
Sr 0.500 0.500 0.500  0.06
Y 0.000 0.000 0.000  0.33
Y 0.250 0.250 0.250  0.12
Zr 0.750 0.750 0.750  0.93

## Properties
As for the density of states at the Fermi level: 1.8619 states/eV/atom. The formation energy comes out at 0.4321 eV per atom. The value obtained for the magnetization is 2.62 μB per cell. The calculated volume is 32.56 Å³/atom.

A relaxed SrYZr crystal, computed with GGA-PBE.

Lattice parameters (Å, degrees): 8.416 8.416 3.513 77.95 77.96 24.09
Fractional coordinates of all 3 atoms:
Y 0.312 0.312 0.688
Sr 0.008 0.008 0.992
Zr 0.680 0.680 0.320

## Properties
As for the density of states at the Fermi level: 1.1343 states/eV/atom. The formation energy comes out at 0.2684 eV per atom. The value obtained for the magnetization is 0.00 μB per cell. The calculated volume is 33.08 Å³/atom.

A relaxed SrY2Zr crystal, computed with GGA-PBE.

Lattice parameters (Å, degrees): 4.910 5.100 5.100 90.00 90.00 90.00
Fractional coordinates of all 4 atoms:
Y 0.000 0.000 0.000
Y 0.000 0.500 0.500
Sr 0.500 0.000 0.500
Zr 0.500 0.500 0.000

## Properties
As for the density of states at the Fermi level: 1.7093 states/eV/atom. The formation energy comes out at 0.3616 eV per atom. The value obtained for the magnetization is 0.00 μB per cell. The calculated volume is 31.93 Å³/atom.

A relaxed SrY2Zr crystal, computed with GGA-PBE.

Lattice parameters (Å, degrees): 4.027 4.027 8.541 90.00 90.00 90.00
Site moments in Bohr magnetons follow the coordinates.
Fractional coordinates of all 4 atoms:
Sr 0.500 0.500 0.721  0.04
Zr 0.000 0.000 0.444  0.64
Y 0.500 0.500 0.284  0.24
Y 0.000 0.000 0.051  0.07

## Properties
As for the density of states at the Fermi level: 1.6771 states/eV/atom. The formation energy comes out at 0.3125 eV per atom. The value obtained for the magnetization is 1.70 μB per cell. The calculated volume is 34.63 Å³/atom.

- Which value of magnetization does entry 3 give?
  0.00 μB per cell

- Which formula does entry 8 have?
  SrY2Zr